Crystalline Pm3Cd2Au8 at its relaxed geometry, computed with GGA-PBE. Values from VASP.

Geometry as Quantum ESPRESSO input:
```
&SYSTEM
  ibrav = 0, nat = 13, ntyp = 3
/
ATOMIC_SPECIES
Pm 145.00 Pm.upf
Cd 112.41 Cd.upf
Au 196.97 Au.upf
CELL_PARAMETERS angstrom
2.756 1.591 11.998
-2.756 1.591 11.998
0.000 -3.183 11.998
ATOMIC_POSITIONS crystal
Pm 0.000 0.000 0.000
Pm 0.237 0.237 0.237
Pm 0.763 0.763 0.763
Cd 0.393 0.393 0.393
Cd 0.607 0.607 0.607
Au 0.198 0.704 0.704
Au 0.296 0.296 0.802
Au 0.296 0.802 0.296
Au 0.317 0.317 0.317
Au 0.683 0.683 0.683
Au 0.704 0.198 0.704
Au 0.704 0.704 0.198
Au 0.802 0.296 0.296
```

SG ... R-3m (166)
Calculated density ... 11.756 g/cm3
Total magnetic moment ... 0.00 μB/cell
Formation energy ... -406.7 meV per atom

=====

Crystalline Zr2FeIr2 at its relaxed geometry, computed with GGA-PBE. Values from VASP.

Geometry as Quantum ESPRESSO input:
```
&SYSTEM
  ibrav = 0, nat = 10, ntyp = 3
/
ATOMIC_SPECIES
Zr 91.22 Zr.upf
Fe 55.84 Fe.upf
Ir 192.22 Ir.upf
CELL_PARAMETERS angstrom
6.478 0.000 0.000
0.000 6.478 0.000
0.000 0.000 4.186
ATOMIC_POSITIONS crystal
Zr 0.177 0.323 0.000
Zr 0.323 0.823 0.000
Zr 0.677 0.177 0.000
Zr 0.823 0.677 0.000
Fe 0.000 0.000 0.500
Fe 0.500 0.500 0.500
Ir 0.138 0.638 0.500
Ir 0.362 0.138 0.500
Ir 0.638 0.862 0.500
Ir 0.862 0.362 0.500
```

SG ... P4/mbm (127)
Calculated density ... 11.772 g/cm3
Total magnetic moment ... 0.00 μB/cell
Formation energy ... -365.6 meV per atom

=====

Crystalline SrSc at its relaxed geometry, computed with GGA-PBE. Values from VASP.

Geometry as Quantum ESPRESSO input:
```
&SYSTEM
  ibrav = 0, nat = 2, ntyp = 2
/
ATOMIC_SPECIES
Sr 87.62 Sr.upf
Sc 44.96 Sc.upf
CELL_PARAMETERS angstrom
3.669 0.000 0.000
0.000 3.669 0.000
0.000 0.000 5.374
ATOMIC_POSITIONS crystal
Sr 0.000 0.000 0.000
Sc 0.500 0.500 0.500
```

SG ... P4/mmm (123)
Calculated density ... 3.044 g/cm3
Distance to the lowest polymorph of the same formula ... 212 meV per atom
Total magnetic moment ... 1.10 μB/cell
Formation energy ... 406.8 meV per atom

=====

Crystalline Ta3RhN at its relaxed geometry, computed with GGA-PBE. Values from VASP.

Geometry as Quantum ESPRESSO input:
```
&SYSTEM
  ibrav = 0, nat = 5, ntyp = 3
/
ATOMIC_SPECIES
Ta 180.95 Ta.upf
Rh 102.91 Rh.upf
N 14.01 N.upf
CELL_PARAMETERS angstrom
4.216 0.000 0.000
0.000 4.216 0.000
0.000 0.000 4.216
ATOMIC_POSITIONS crystal
Ta 0.000 0.000 0.500
Ta 0.000 0.500 0.000
Ta 0.500 0.000 0.000
Rh 0.500 0.500 0.500
N 0.000 0.000 0.000
```

SG ... Pm-3m (221)
Calculated density ... 14.618 g/cm3
Total magnetic moment ... 0.00 μB/cell
Energy relative to the elements, uncorrected ... -0.579 eV/atom

=====

Crystalline AlBiSe3 at its relaxed geometry, computed with GGA-PBE. Values from VASP.

Geometry as Quantum ESPRESSO input:
```
&SYSTEM
  ibrav = 0, nat = 10, ntyp = 3
/
ATOMIC_SPECIES
Al 26.98 Al.upf
Bi 208.98 Bi.upf
Se 78.96 Se.upf
CELL_PARAMETERS angstrom
4.055 0.000 0.000
0.000 12.229 3.321
0.000 -12.229 3.321
ATOMIC_POSITIONS crystal
Al 0.250 0.128 0.872
Al 0.750 0.872 0.128
Bi 0.250 0.391 0.731
Bi 0.750 0.731 0.391
Se 0.250 0.059 0.626
Se 0.250 0.456 0.243
Se 0.250 0.768 0.935
Se 0.750 0.243 0.456
Se 0.750 0.626 0.059
Se 0.750 0.935 0.768
```

SG ... Ama2 (40)
Calculated density ... 4.767 g/cm3
Distance to the lowest polymorph of the same formula ... 0 meV per atom
Total magnetic moment ... 0.00 μB/cell
Energy relative to the elements, uncorrected ... -0.620 eV/atom

=====

Crystalline Sm4TlPb at its relaxed geometry, computed with GGA-PBE. Values from VASP.

Geometry as Quantum ESPRESSO input:
```
&SYSTEM
  ibrav = 0, nat = 12, ntyp = 3
/
ATOMIC_SPECIES
Sm 150.36 Sm.upf
Tl 204.38 Tl.upf
Pb 207.20 Pb.upf
CELL_PARAMETERS angstrom
4.603 -7.116 0.000
4.603 7.116 0.000
-2.798 0.000 5.822
ATOMIC_POSITIONS crystal
Sm 0.079 0.699 0.927
Sm 0.222 0.386 0.681
Sm 0.301 0.921 0.573
Sm 0.386 0.222 0.181
Sm 0.614 0.778 0.819
Sm 0.699 0.079 0.427
Sm 0.778 0.614 0.319
Sm 0.921 0.301 0.073
Tl 0.001 0.999 0.250
Tl 0.999 0.001 0.750
Pb 0.380 0.620 0.250
Pb 0.620 0.380 0.750
```

SG ... C2/c (15)
Calculated density ... 8.820 g/cm3
Total magnetic moment ... 0.00 μB/cell
Formation energy ... -270.2 meV per atom

=====

Crystalline B5C7 at its relaxed geometry, computed with GGA-PBE. Values from VASP.

Geometry as Quantum ESPRESSO input:
```
&SYSTEM
  ibrav = 0, nat = 12, ntyp = 2
/
ATOMIC_SPECIES
B 10.81 B.upf
C 12.01 C.upf
CELL_PARAMETERS angstrom
6.925 -1.306 0.000
6.925 1.306 0.000
-1.315 0.000 4.393
ATOMIC_POSITIONS crystal
B 0.000 0.000 0.000
B 0.505 0.505 0.567
B 0.636 0.636 0.330
B 0.807 0.807 0.518
B 0.934 0.934 0.315
C 0.120 0.120 0.135
C 0.164 0.164 0.860
C 0.281 0.281 0.989
C 0.330 0.330 0.723
C 0.445 0.445 0.841
C 0.627 0.627 0.667
C 0.816 0.816 0.182
```

SG ... Cm (8)
Calculated density ... 2.886 g/cm3
Distance to the lowest polymorph of the same formula ... 48 meV per atom
Total magnetic moment ... 0.00 μB/cell
Formation energy ... 306.3 meV per atom

=====

Crystalline TeOsPt at its relaxed geometry, computed with GGA-PBE. Values from VASP.

Geometry as Quantum ESPRESSO input:
```
&SYSTEM
  ibrav = 0, nat = 3, ntyp = 3
/
ATOMIC_SPECIES
Te 127.60 Te.upf
Os 190.23 Os.upf
Pt 195.08 Pt.upf
CELL_PARAMETERS angstrom
-1.527 1.873 4.646
1.527 -1.873 4.646
1.527 1.873 -4.646
ATOMIC_POSITIONS crystal
Te 0.000 0.000 0.000
Os 0.637 0.637 0.000
Pt 0.310 0.310 0.000
```

SG ... Imm2 (44)
Calculated density ... 16.024 g/cm3
Distance to the lowest polymorph of the same formula ... 290 meV per atom
Total magnetic moment ... 0.00 μB/cell
Energy relative to the elements, uncorrected ... 0.666 eV/atom